Entry 1:
{
  "formula": "MgCu2Hg2",
  "functional": "PBE",
  "state": "optimized geometry",
  "lattice": [[7.312, 0.000, 0.000], [0.000, 7.312, 0.000], [0.000, 0.000, 3.336]],
  "species": ["Mg", "Mg", "Cu", "Cu", "Cu", "Cu", "Hg", "Hg", "Hg", "Hg"],
  "frac_coords": [[0.000, 0.000, 0.000], [0.500, 0.500, 0.000], [0.123, 0.377, 0.000], [0.377, 0.877, 0.000], [0.623, 0.123, 0.000], [0.877, 0.623, 0.000], [0.175, 0.675, 0.500], [0.325, 0.175, 0.500], [0.675, 0.825, 0.500], [0.825, 0.325, 0.500]],
  "delta_e_f_ev_per_atom": 0.0351,
  "sg": "P4/mbm",
  "e_above_lowest_polymorph_ev_per_atom": 0.0000,
  "e_tot_ev_per_atom": -2.043
}

Entry 2:
{
  "formula": "LuPuAg4",
  "functional": "PBE",
  "state": "optimized geometry",
  "lattice": [[0.000, 4.016, 4.016], [4.016, 0.000, 4.016], [4.016, 4.016, 0.000]],
  "species": ["Lu", "Pu", "Ag", "Ag", "Ag", "Ag"],
  "frac_coords": [[0.000, 0.000, 0.000], [0.750, 0.750, 0.750], [0.375, 0.375, 0.375], [0.375, 0.375, 0.876], [0.375, 0.876, 0.375], [0.876, 0.375, 0.375]],
  "delta_e_f_ev_per_atom": -0.0313,
  "sg": "F-43m",
  "e_tot_ev_per_atom": -5.074
}

Entry 3:
{
  "formula": "HfNb6Re",
  "functional": "PBE",
  "state": "optimized geometry",
  "lattice": [[4.847, 2.799, 1.830], [-4.847, 2.799, 1.830], [0.000, -5.597, 1.830]],
  "species": ["Hf", "Nb", "Nb", "Nb", "Nb", "Nb", "Nb", "Re"],
  "frac_coords": [[0.000, 0.000, 0.000], [0.253, 0.253, 0.739], [0.253, 0.739, 0.253], [0.261, 0.747, 0.747], [0.739, 0.253, 0.253], [0.747, 0.261, 0.747], [0.747, 0.747, 0.261], [0.500, 0.500, 0.500]],
  "delta_e_f_ev_per_atom": 0.1218,
  "sg": "R-3m",
  "e_tot_ev_per_atom": -10.231
}

Entry 4:
{
  "formula": "SrGeP2",
  "functional": "PBE",
  "state": "optimized geometry",
  "lattice": [[3.851, 0.000, 0.000], [-1.925, 3.335, 0.000], [0.000, 0.000, 20.871]],
  "species": ["Sr", "Sr", "Sr", "Ge", "Ge", "Ge", "P", "P", "P", "P", "P", "P"],
  "frac_coords": [[0.000, 0.000, 0.000], [0.333, 0.667, 0.667], [0.667, 0.333, 0.333], [0.000, 0.000, 0.500], [0.333, 0.667, 0.167], [0.667, 0.333, 0.833], [0.000, 0.000, 0.232], [0.000, 0.000, 0.768], [0.333, 0.667, 0.435], [0.333, 0.667, 0.899], [0.667, 0.333, 0.101], [0.667, 0.333, 0.565]],
  "delta_e_f_ev_per_atom": -0.2270,
  "sg": "R-3m",
  "e_tot_ev_per_atom": -4.507
}

Entry 5:
{
  "formula": "Dy6Si2Te3As",
  "functional": "PBE",
  "state": "optimized geometry",
  "lattice": [[9.322, -2.107, 0.000], [9.322, 2.107, 0.000], [-2.173, 0.000, 8.310]],
  "species": ["Dy", "Dy", "Dy", "Dy", "Dy", "Dy", "Si", "Si", "Te", "Te", "Te", "As"],
  "frac_coords": [[0.009, 0.009, 0.236], [0.326, 0.326, 0.434], [0.338, 0.338, 0.896], [0.662, 0.662, 0.104], [0.674, 0.674, 0.566], [0.991, 0.991, 0.764], [0.167, 0.167, 0.333], [0.833, 0.833, 0.667], [0.165, 0.165, 0.834], [0.500, 0.500, 0.500], [0.835, 0.835, 0.166], [0.500, 0.500, 0.000]],
  "sg": "C2/m",
  "e_tot_ev_per_atom": -5.626
}

Entry 6:
{
  "formula": "ZnFeAu2",
  "functional": "PBE",
  "state": "optimized geometry",
  "lattice": [[2.873, 0.000, 0.000], [-1.436, 2.488, 0.000], [0.000, 0.000, 26.872]],
  "species": ["Zn", "Zn", "Zn", "Fe", "Fe", "Fe", "Au", "Au", "Au", "Au", "Au", "Au"],
  "frac_coords": [[0.000, 0.000, 0.000], [0.333, 0.667, 0.667], [0.667, 0.333, 0.333], [0.000, 0.000, 0.259], [0.333, 0.667, 0.925], [0.667, 0.333, 0.592], [0.000, 0.000, 0.512], [0.000, 0.000, 0.750], [0.333, 0.667, 0.178], [0.333, 0.667, 0.416], [0.667, 0.333, 0.083], [0.667, 0.333, 0.845]],
  "delta_e_f_ev_per_atom": 0.0823,
  "sg": "R3m",
  "e_tot_ev_per_atom": -3.991
}

Entry 7:
{
  "formula": "BiTe2Rh",
  "functional": "PBE",
  "state": "optimized geometry",
  "lattice": [[6.675, 0.000, 0.000], [0.000, 6.675, 0.000], [0.000, 0.000, 12.209]],
  "species": ["Bi", "Bi", "Bi", "Bi", "Te", "Te", "Te", "Te", "Te", "Te", "Te", "Te", "Rh", "Rh", "Rh", "Rh"],
  "frac_coords": [[0.000, 0.000, 0.000], [0.000, 0.500, 0.250], [0.500, 0.000, 0.750], [0.500, 0.500, 0.500], [0.182, 0.250, 0.625], [0.250, 0.682, 0.875], [0.250, 0.818, 0.375], [0.318, 0.250, 0.125], [0.682, 0.750, 0.125], [0.750, 0.182, 0.375], [0.750, 0.318, 0.875], [0.818, 0.750, 0.625], [0.000, 0.000, 0.500], [0.000, 0.500, 0.750], [0.500, 0.000, 0.250], [0.500, 0.500, 0.000]],
  "sg": "I-42d",
  "e_tot_ev_per_atom": -4.369
}

Entry 8:
{
  "formula": "GaCo2RhN",
  "functional": "PBE",
  "state": "optimized geometry",
  "lattice": [[3.726, 0.000, 0.000], [0.000, 3.726, 0.000], [0.000, 0.000, 4.165]],
  "species": ["Ga", "Co", "Co", "Rh", "N"],
  "frac_coords": [[0.000, 0.000, 0.000], [0.000, 0.500, 0.500], [0.500, 0.000, 0.500], [0.500, 0.500, 0.000], [0.500, 0.500, 0.500]],
  "sg": "P4/mmm",
  "e_tot_ev_per_atom": -6.678
}

Entry 9:
{
  "formula": "RbCeCl3",
  "functional": "PBE",
  "state": "optimized geometry",
  "lattice": [[7.495, -5.440, 0.000], [7.495, 5.440, 0.000], [0.000, 0.000, 7.539]],
  "species": ["Rb", "Rb", "Rb", "Rb", "Ce", "Ce", "Ce", "Ce", "Cl", "Cl", "Cl", "Cl", "Cl", "Cl", "Cl", "Cl", "Cl", "Cl", "Cl", "Cl"],
  "frac_coords": [[0.177, 0.323, 0.250], [0.323, 0.177, 0.750], [0.677, 0.823, 0.250], [0.823, 0.677, 0.750], [0.193, 0.807, 0.387], [0.307, 0.693, 0.887], [0.693, 0.307, 0.113], [0.807, 0.193, 0.613], [0.052, 0.676, 0.106], [0.063, 0.937, 0.726], [0.176, 0.552, 0.606], [0.324, 0.948, 0.106], [0.437, 0.563, 0.226], [0.448, 0.824, 0.606], [0.552, 0.176, 0.394], [0.563, 0.437, 0.774], [0.676, 0.052, 0.894], [0.824, 0.448, 0.394], [0.937, 0.063, 0.274], [0.948, 0.324, 0.894]],
  "sg": "Cmce",
  "e_tot_ev_per_atom": -4.393
}

Entry 10:
{
  "formula": "HfTiZn",
  "functional": "PBE",
  "state": "optimized geometry",
  "lattice": [[2.262, 1.306, 6.336], [-2.262, 1.306, 6.336], [0.000, -2.612, 6.336]],
  "species": ["Hf", "Hf", "Ti", "Ti", "Zn", "Zn"],
  "frac_coords": [[0.213, 0.213, 0.213], [0.787, 0.787, 0.787], [0.366, 0.366, 0.366], [0.634, 0.634, 0.634], [0.064, 0.064, 0.064], [0.936, 0.936, 0.936]],
  "delta_e_f_ev_per_atom": 0.0726,
  "sg": "R-3m",
  "e_above_lowest_polymorph_ev_per_atom": 0.1408,
  "e_tot_ev_per_atom": -6.302
}

Entry 11:
{
  "formula": "HoInPt",
  "functional": "PBE",
  "state": "optimized geometry",
  "lattice": [[7.693, 0.000, 0.000], [-3.846, 6.662, 0.000], [0.000, 0.000, 3.818]],
  "species": ["Ho", "Ho", "Ho", "In", "In", "In", "Pt", "Pt", "Pt"],
  "frac_coords": [[0.000, 0.595, 0.000], [0.405, 0.405, 0.000], [0.595, 0.000, 0.000], [0.000, 0.262, 0.500], [0.262, 0.000, 0.500], [0.738, 0.738, 0.500], [0.000, 0.000, 0.000], [0.333, 0.667, 0.500], [0.667, 0.333, 0.500]],
  "delta_e_f_ev_per_atom": -1.0057,
  "sg": "P-62m",
  "e_tot_ev_per_atom": -5.458
}

Entry 12:
{
  "formula": "Sr5TaN4F2",
  "functional": "PBE",
  "state": "optimized geometry",
  "lattice": [[7.450, 0.000, 0.000], [0.000, 5.093, 3.067], [0.000, -5.093, 3.067]],
  "species": ["Sr", "Sr", "Sr", "Sr", "Sr", "Ta", "N", "N", "N", "N", "F", "F"],
  "frac_coords": [[0.000, 0.000, 0.000], [0.273, 0.316, 0.669], [0.273, 0.669, 0.316], [0.727, 0.316, 0.669], [0.727, 0.669, 0.316], [0.500, 0.003, 0.003], [0.288, 0.196, 0.196], [0.500, 0.657, 0.976], [0.500, 0.976, 0.657], [0.712, 0.196, 0.196], [0.000, 0.025, 0.576], [0.000, 0.576, 0.025]],
  "sg": "Amm2",
  "e_tot_ev_per_atom": -6.409
}